Tb3NdHo5 | PBE | relaxed

Cell and atoms, written as extended XYZ:
```
18
Lattice="8.155 -3.344 0.000 8.155 3.344 0.000 -3.637 0.000 10.723" Properties=species:S:1:pos:R:3 pbc="T T T"
Tb 0.000 0.000 0.000
Tb -1.818 0.000 5.361
Tb 1.922 0.822 6.907
Tb 3.741 -0.822 1.546
Tb 8.932 0.822 9.177
Tb 10.751 -0.822 3.816
Nd 5.427 1.822 8.042
Nd 7.246 -1.822 2.681
Ho -0.307 0.807 9.372
Ho 1.511 -0.807 4.011
Ho 7.246 1.209 2.681
Ho 4.743 0.026 4.870
Ho 2.924 -0.026 10.231
Ho 9.749 0.026 0.492
Ho 7.931 -0.026 5.853
Ho 5.427 -1.209 8.042
Ho 11.162 0.807 6.712
Ho 12.980 -0.807 1.351
```

Output
**Raw total energy**: -4.44 eV/atom
**Density**: 8.21 Mg/m³
**Magnetic moment**: 0.002 Bohr magnetons per cell
**ΔE_f**: 4.04 kcal/mol of atoms

=====

Tb5Nd2Ho | PBE | relaxed

Cell and atoms, written as extended XYZ:
```
16
Lattice="7.174 0.000 0.000 0.000 14.349 0.000 0.000 0.000 5.064" Properties=species:S:1:pos:R:3 pbc="T T T"
Tb 0.000 0.000 0.000
Tb 0.004 3.590 0.000
Tb 1.789 12.556 2.532
Tb 1.798 5.381 2.532
Tb 3.583 10.765 0.000
Tb 3.587 7.175 0.000
Tb 3.591 3.585 0.000
Tb 5.376 8.968 2.532
Tb 5.384 1.794 2.532
Tb 7.170 10.759 0.000
Nd 1.790 8.964 2.532
Nd 1.797 1.790 2.532
Nd 5.377 12.560 2.532
Nd 5.384 5.385 2.532
Ho 0.000 7.175 0.000
Ho 3.587 0.000 0.000
```

Output
**Raw total energy**: -4.64 eV/atom
**Density**: 7.95 Mg/m³
**Magnetic moment**: 0.000 Bohr magnetons per cell
**ΔE_f**: 0.38 kcal/mol of atoms

=====

TbNd2Ho | PBE | relaxed

Cell and atoms, written as extended XYZ:
```
4
Lattice="3.617 0.000 0.000 0.000 3.617 0.000 0.000 0.000 10.187" Properties=species:S:1:pos:R:3 pbc="T T T"
Tb 0.000 0.000 0.000
Nd 1.808 1.808 2.559
Nd 1.808 1.808 7.628
Ho 0.000 0.000 5.093
```

Output
**Raw total energy**: -4.67 eV/atom
**Density**: 7.63 Mg/m³
**Magnetic moment**: 0.000 Bohr magnetons per cell
**ΔE_f**: 0.43 kcal/mol of atoms